[1]
# Nb2Mo4Pb3N3 | OQMD via LeMat-Bulk | PBE | relaxed
# - crystal system = monoclinic
# - energy (eV/cell) = -199.35
data_Nb2Mo4Pb3N3
_cell_length_a 5.7408
_cell_length_b 5.7408
_cell_length_c 13.8841
_cell_angle_alpha 101.81
_cell_angle_beta 101.81
_cell_angle_gamma 60.06
_space_group_name_H-M_alt 'P 1'
_space_group_IT_number 1
_space_group_name_Hall 'P 1'
loop_
_atom_site_label
_atom_site_type_symbol
_atom_site_fract_x
_atom_site_fract_y
_atom_site_fract_z
Nb1 Nb 0.0237 0.8456 0.5745
Nb2 Nb 0.1544 0.9763 0.9255
Nb3 Nb 0.8456 0.0237 0.0745
Nb4 Nb 0.9763 0.1544 0.4255
Mo1 Mo 0.1901 0.3754 0.0751
Mo2 Mo 0.3232 0.4592 0.4255
Mo3 Mo 0.3754 0.1901 0.5751
Mo4 Mo 0.4592 0.3232 0.9255
Mo5 Mo 0.5408 0.6768 0.0745
Mo6 Mo 0.6246 0.8099 0.4249
Mo7 Mo 0.6768 0.5408 0.5745
Mo8 Mo 0.8099 0.6246 0.9249
Pb1 Pb 0.0824 0.2531 0.7483
Pb2 Pb 0.2531 0.0824 0.2483
Pb3 Pb 0.4193 0.5807 0.7500
Pb4 Pb 0.5807 0.4193 0.2500
Pb5 Pb 0.7469 0.9176 0.7517
Pb6 Pb 0.9176 0.7469 0.2517
N1 N 0.0000 0.5000 0.5000
N2 N 0.1651 0.6686 0.9997
N3 N 0.3314 0.8349 0.5003
N4 N 0.5000 0.0000 0.0000
N5 N 0.6686 0.1651 0.4997
N6 N 0.8349 0.3314 0.0003

***

[2]
# Cu2Ag | OQMD via LeMat-Bulk | PBE | relaxed
# - distance to the lowest polymorph of the same formula (eV per atom) = 0.0329
# - crystal system = tetragonal
# - DFT formation energy (meV/atom) = 79
# - energy (eV/cell) = -30.07
data_Cu2Ag
_cell_length_a 16.5775
_cell_length_b 16.5775
_cell_length_c 16.5775
_cell_angle_alpha 170.46
_cell_angle_beta 170.46
_cell_angle_gamma 13.51
_space_group_name_H-M_alt 'P 1'
_space_group_IT_number 1
_space_group_name_Hall 'P 1'
loop_
_atom_site_label
_atom_site_type_symbol
_atom_site_fract_x
_atom_site_fract_y
_atom_site_fract_z
Cu1 Cu 0.0000 0.0000 0.0000
Cu2 Cu 0.0976 0.0976 0.0000
Cu3 Cu 0.2156 0.2156 0.0000
Cu4 Cu 0.3326 0.3326 0.0000
Cu5 Cu 0.5490 0.5490 0.0000
Cu6 Cu 0.8809 0.8809 0.0000
Ag1 Ag 0.4404 0.4404 0.0000
Ag2 Ag 0.6567 0.6567 0.0000
Ag3 Ag 0.7741 0.7741 0.0000

***

[3]
# SiTcAs | OQMD via LeMat-Bulk | PBE | relaxed
# - distance to the lowest polymorph of the same formula (eV per atom) = 0.7815
# - crystal system = cubic
# - energy (eV/cell) = -76.57
data_SiTcAs
_cell_length_a 5.8487
_cell_length_b 5.8487
_cell_length_c 5.8487
_cell_angle_alpha 90.00
_cell_angle_beta 90.00
_cell_angle_gamma 90.00
_space_group_name_H-M_alt 'P 1'
_space_group_IT_number 1
_space_group_name_Hall 'P 1'
loop_
_atom_site_label
_atom_site_type_symbol
_atom_site_fract_x
_atom_site_fract_y
_atom_site_fract_z
Si1 Si 0.0000 0.0000 0.0000
Si2 Si 0.0000 0.5000 0.5000
Si3 Si 0.5000 0.0000 0.5000
Si4 Si 0.5000 0.5000 0.0000
Tc1 Tc 0.2500 0.2500 0.2500
Tc2 Tc 0.2500 0.7500 0.7500
Tc3 Tc 0.7500 0.2500 0.7500
Tc4 Tc 0.7500 0.7500 0.2500
As1 As 0.2500 0.2500 0.7500
As2 As 0.2500 0.7500 0.2500
As3 As 0.7500 0.2500 0.2500
As4 As 0.7500 0.7500 0.7500

***

[4]
# Ta4PbSN2 | OQMD via LeMat-Bulk | PBE | relaxed
# - crystal system = hexagonal
# - energy (eV/cell) = -75.26
data_Ta4PbSN2
_cell_length_a 3.3269
_cell_length_b 3.3269
_cell_length_c 12.4992
_cell_angle_alpha 90.00
_cell_angle_beta 90.00
_cell_angle_gamma 120.00
_space_group_name_H-M_alt 'P 1'
_space_group_IT_number 1
_space_group_name_Hall 'P 1'
loop_
_atom_site_label
_atom_site_type_symbol
_atom_site_fract_x
_atom_site_fract_y
_atom_site_fract_z
Ta1 Ta 0.0000 0.0000 0.1410
Ta2 Ta 0.0000 0.0000 0.8590
Ta3 Ta 0.3333 0.6667 0.3091
Ta4 Ta 0.3333 0.6667 0.6909
Pb1 Pb 0.0000 0.0000 0.5000
S1 S 0.3333 0.6667 0.0000
N1 N 0.6667 0.3333 0.2311
N2 N 0.6667 0.3333 0.7689

***

[5]
# Li5HoLu | OQMD via LeMat-Bulk | PBE | relaxed
# - crystal system = orthorhombic
# - energy (eV/cell) = -32.89
data_Li5HoLu
_cell_length_a 5.8534
_cell_length_b 6.5110
_cell_length_c 7.7934
_cell_angle_alpha 90.00
_cell_angle_beta 90.00
_cell_angle_gamma 90.00
_space_group_name_H-M_alt 'P 1'
_space_group_IT_number 1
_space_group_name_Hall 'P 1'
loop_
_atom_site_label
_atom_site_type_symbol
_atom_site_fract_x
_atom_site_fract_y
_atom_site_fract_z
Li1 Li 0.0000 0.0000 0.0000
Li2 Li 0.0000 0.3197 0.9899
Li3 Li 0.0000 0.6803 0.9899
Li4 Li 0.2423 0.5000 0.2434
Li5 Li 0.2577 0.0000 0.7434
Li6 Li 0.5000 0.1803 0.4899
Li7 Li 0.5000 0.5000 0.5000
Li8 Li 0.5000 0.8197 0.4899
Li9 Li 0.7423 0.0000 0.7434
Li10 Li 0.7577 0.5000 0.2434
Ho1 Ho 0.0000 0.0000 0.3817
Ho2 Ho 0.5000 0.5000 0.8817
Lu1 Lu 0.0000 0.5000 0.6257
Lu2 Lu 0.5000 0.0000 0.1257

***

[6]
# KLuNp | OQMD via LeMat-Bulk | PBE | relaxed
# - distance to the lowest polymorph of the same formula (eV per atom) = 0.0000
# - crystal system = cubic
# - energy (eV/cell) = -53.87
data_KLuNp
_cell_length_a 8.0921
_cell_length_b 8.0921
_cell_length_c 8.0921
_cell_angle_alpha 90.00
_cell_angle_beta 90.00
_cell_angle_gamma 90.00
_space_group_name_H-M_alt 'P 1'
_space_group_IT_number 1
_space_group_name_Hall 'P 1'
loop_
_atom_site_label
_atom_site_type_symbol
_atom_site_fract_x
_atom_site_fract_y
_atom_site_fract_z
K1 K 0.0000 0.0000 0.0000
K2 K 0.0000 0.5000 0.5000
K3 K 0.5000 0.0000 0.5000
K4 K 0.5000 0.5000 0.0000
Lu1 Lu 0.2500 0.2500 0.2500
Lu2 Lu 0.2500 0.7500 0.7500
Lu3 Lu 0.7500 0.2500 0.7500
Lu4 Lu 0.7500 0.7500 0.2500
Np1 Np 0.0000 0.0000 0.5000
Np2 Np 0.0000 0.5000 0.0000
Np3 Np 0.5000 0.0000 0.0000
Np4 Np 0.5000 0.5000 0.5000

***

[7]
# NpTcIr | OQMD via LeMat-Bulk | PBE | relaxed
# - distance to the lowest polymorph of the same formula (eV per atom) = 0.0360
# - crystal system = cubic
# - DFT formation energy (meV/atom) = 417
# - energy (eV/cell) = -122.94
data_NpTcIr
_cell_length_a 6.2090
_cell_length_b 6.2090
_cell_length_c 6.2090
_cell_angle_alpha 90.00
_cell_angle_beta 90.00
_cell_angle_gamma 90.00
_space_group_name_H-M_alt 'P 1'
_space_group_IT_number 1
_space_group_name_Hall 'P 1'
loop_
_atom_site_label
_atom_site_type_symbol
_atom_site_fract_x
_atom_site_fract_y
_atom_site_fract_z
Np1 Np 0.0000 0.0000 0.0000
Np2 Np 0.0000 0.5000 0.5000
Np3 Np 0.5000 0.0000 0.5000
Np4 Np 0.5000 0.5000 0.0000
Tc1 Tc 0.0000 0.0000 0.5000
Tc2 Tc 0.0000 0.5000 0.0000
Tc3 Tc 0.5000 0.0000 0.0000
Tc4 Tc 0.5000 0.5000 0.5000
Ir1 Ir 0.2500 0.2500 0.2500
Ir2 Ir 0.2500 0.7500 0.7500
Ir3 Ir 0.7500 0.2500 0.7500
Ir4 Ir 0.7500 0.7500 0.2500

***

[8]
# Sm6Fe23 | OQMD via LeMat-Bulk | PBE | relaxed
# - crystal system = cubic
# - DFT formation energy (meV/atom) = 23
# - energy (eV/cell) = -218.69
data_Sm6Fe23
_cell_length_a 8.4947
_cell_length_b 8.4947
_cell_length_c 8.4947
_cell_angle_alpha 60.00
_cell_angle_beta 60.00
_cell_angle_gamma 60.00
_space_group_name_H-M_alt 'P 1'
_space_group_IT_number 1
_space_group_name_Hall 'P 1'
loop_
_atom_site_label
_atom_site_type_symbol
_atom_site_fract_x
_atom_site_fract_y
_atom_site_fract_z
Sm1 Sm 0.2068 0.2068 0.7932
Sm2 Sm 0.2068 0.7932 0.2068
Sm3 Sm 0.2068 0.7932 0.7932
Sm4 Sm 0.7932 0.2068 0.2068
Sm5 Sm 0.7932 0.2068 0.7932
Sm6 Sm 0.7932 0.7932 0.2068
Fe1 Fe 0.0000 0.0000 0.5000
Fe2 Fe 0.0000 0.5000 0.0000
Fe3 Fe 0.0000 0.5000 0.5000
Fe4 Fe 0.1354 0.6215 0.6215
Fe5 Fe 0.1767 0.1767 0.1767
Fe6 Fe 0.1767 0.1767 0.4699
Fe7 Fe 0.1767 0.4699 0.1767
Fe8 Fe 0.3785 0.3785 0.3785
Fe9 Fe 0.3785 0.3785 0.8646
Fe10 Fe 0.3785 0.8646 0.3785
Fe11 Fe 0.4699 0.1767 0.1767
Fe12 Fe 0.5000 0.0000 0.0000
Fe13 Fe 0.5000 0.0000 0.5000
Fe14 Fe 0.5000 0.5000 0.0000
Fe15 Fe 0.5000 0.5000 0.5000
Fe16 Fe 0.5301 0.8233 0.8233
Fe17 Fe 0.6215 0.1354 0.6215
Fe18 Fe 0.6215 0.6215 0.1354
Fe19 Fe 0.6215 0.6215 0.6215
Fe20 Fe 0.8233 0.5301 0.8233
Fe21 Fe 0.8233 0.8233 0.5301
Fe22 Fe 0.8233 0.8233 0.8233
Fe23 Fe 0.8646 0.3785 0.3785

***

[9]
# SmB4Ir | OQMD via LeMat-Bulk | PBE | relaxed
# - distance to the lowest polymorph of the same formula (eV per atom) = 0.0897
# - crystal system = orthorhombic
# - energy (eV/cell) = -80.90
data_SmB4Ir
_cell_length_a 3.1653
_cell_length_b 5.3184
_cell_length_c 7.7212
_cell_angle_alpha 90.00
_cell_angle_beta 90.00
_cell_angle_gamma 90.00
_space_group_name_H-M_alt 'P 1'
_space_group_IT_number 1
_space_group_name_Hall 'P 1'
loop_
_atom_site_label
_atom_site_type_symbol
_atom_site_fract_x
_atom_site_fract_y
_atom_site_fract_z
Sm1 Sm 0.0000 0.0000 0.0000
Sm2 Sm 0.5000 0.5000 0.5000
B1 B 0.0000 0.3304 0.2539
B2 B 0.0000 0.3304 0.7461
B3 B 0.0000 0.6696 0.2539
B4 B 0.0000 0.6696 0.7461
B5 B 0.5000 0.1696 0.2461
B6 B 0.5000 0.1696 0.7539
B7 B 0.5000 0.8304 0.2461
B8 B 0.5000 0.8304 0.7539
Ir1 Ir 0.0000 0.0000 0.5000
Ir2 Ir 0.5000 0.5000 0.0000

***

[10]
# CdRePO | OQMD via LeMat-Bulk | PBE | relaxed
# - distance to the lowest polymorph of the same formula (eV per atom) = 0.2707
# - crystal system = tetragonal
# - energy (eV/cell) = -48.63
data_CdRePO
_cell_length_a 4.0569
_cell_length_b 4.0569
_cell_length_c 7.9253
_cell_angle_alpha 90.00
_cell_angle_beta 90.00
_cell_angle_gamma 90.00
_space_group_name_H-M_alt 'P 1'
_space_group_IT_number 1
_space_group_name_Hall 'P 1'
loop_
_atom_site_label
_atom_site_type_symbol
_atom_site_fract_x
_atom_site_fract_y
_atom_site_fract_z
Cd1 Cd 0.2500 0.2500 0.1126
Cd2 Cd 0.7500 0.7500 0.8874
Re1 Re 0.2500 0.7500 0.5000
Re2 Re 0.7500 0.2500 0.5000
P1 P 0.2500 0.2500 0.6550
P2 P 0.7500 0.7500 0.3450
O1 O 0.2500 0.7500 0.0000
O2 O 0.7500 0.2500 0.0000

***

[11]
# Ho2Os2O5 | OQMD via LeMat-Bulk | PBE | relaxed
# - distance to the lowest polymorph of the same formula (eV per atom) = 0.2517
# - crystal system = tetragonal
# - energy (eV/cell) = -68.70
data_Ho2Os2O5
_cell_length_a 3.5335
_cell_length_b 3.5335
_cell_length_c 9.2955
_cell_angle_alpha 90.00
_cell_angle_beta 90.00
_cell_angle_gamma 90.00
_space_group_name_H-M_alt 'P 1'
_space_group_IT_number 1
_space_group_name_Hall 'P 1'
loop_
_atom_site_label
_atom_site_type_symbol
_atom_site_fract_x
_atom_site_fract_y
_atom_site_fract_z
Ho1 Ho 0.0000 0.0000 0.2361
Ho2 Ho 0.0000 0.0000 0.7639
Os1 Os 0.5000 0.5000 0.0000
Os2 Os 0.5000 0.5000 0.5000
O1 O 0.0000 0.0000 0.0000
O2 O 0.0000 0.5000 0.3746
O3 O 0.0000 0.5000 0.6254
O4 O 0.5000 0.0000 0.3746
O5 O 0.5000 0.0000 0.6254